Entry 1:
This record from Alexandria via LeMat-Bulk describes a relaxed structure of MgInPtAu. The functional is PBE.

The structure in POSCAR format:
```
MgInPtAu
1.0
3.294 0.000 0.000
0.000 3.294 0.000
0.000 0.000 6.677
Mg Pt In Au
1 1 1 1
Direct
0.000 0.000 0.367
0.500 0.500 0.594
0.000 0.000 0.842
0.500 0.500 0.124
```

space group	P4mm, No. 99
ΔH_f (0 K)	-11.63	kcal/mol of atoms


Entry 2:
This record from Alexandria via LeMat-Bulk describes a relaxed structure of PuMgIn2Au4. The functional is PBE.

The structure in POSCAR format:
```
PuMgIn2Au4
1.0
4.769 0.000 0.000
2.385 4.130 0.000
2.385 1.377 8.566
Mg Au In Pu
1 4 2 1
Direct
0.500 0.500 0.500
0.867 0.867 0.400
0.611 0.611 0.166
0.133 0.133 0.600
0.389 0.389 0.834
0.752 0.752 0.744
0.248 0.248 0.256
0.000 0.000 0.000
```

space group	R-3m, No. 166
ΔH_f (0 K)	-9.05	kcal/mol of atoms


Entry 3:
This record from Alexandria via LeMat-Bulk describes a relaxed structure of Mg5In2Rh2Au. The functional is PBE.

The structure in POSCAR format:
```
Mg5In2Rh2Au
1.0
4.065 0.000 0.000
0.000 9.710 0.000
0.000 0.000 9.710
Mg In Au Rh
10 4 2 4
Direct
0.500 0.423 0.298
0.500 0.798 0.923
0.500 0.702 0.423
0.500 0.923 0.202
0.500 0.000 0.500
0.500 0.202 0.077
0.500 0.500 0.000
0.500 0.077 0.798
0.500 0.577 0.702
0.500 0.298 0.577
0.000 0.329 0.829
0.000 0.171 0.329
0.000 0.671 0.171
0.000 0.829 0.671
0.000 0.000 0.000
0.000 0.500 0.500
0.000 0.121 0.621
0.000 0.879 0.379
0.000 0.379 0.121
0.000 0.621 0.879
```

space group	P4/mbm, No. 127
ΔH_f (0 K)	-8.56	kcal/mol of atoms


no.,total magnetization (μB/f.u.),electronic total energy (Ha/atom)
1,0.0,-0.1440
2,5.5,-0.1730
3,0.0,-0.1292